Entry 1:
Li2CdIn | PBE-GGA | relaxed

The structure in CIF format:
```
data_Li2CdIn
_symmetry_space_group_name_H-M 'I -4 2 d'
_symmetry_Int_Tables_number 122
_symmetry_space_group_name_Hall 'I -4 2bw'
_cell_length_a 7.626
_cell_length_b 7.626
_cell_length_c 5.987
_cell_angle_alpha 90.00
_cell_angle_beta 90.00
_cell_angle_gamma 90.00
loop_
_atom_site_label
_atom_site_fract_x
_atom_site_fract_y
_atom_site_fract_z
_atom_site_occupancy
Li1 0.243 0.250 0.125 1
Cd1 0.000 0.000 0.000 1
In1 0.000 0.000 0.500 1
```

Calculated values
For the volume, the calculation gives 87.0 Å³/f.u. For the density of states at the Fermi level, the calculation gives 1.4 states/eV/f.u. The formation energy is -0.228 eV/f.u.



Entry 2:
Pr2Nd5Sm5 | PBE-GGA | relaxed

The structure in CIF format:
```
data_Pr2Nd5Sm5
_symmetry_space_group_name_H-M 'C 1 2/m 1'
_symmetry_Int_Tables_number 12
_cell_length_a 15.564
_cell_length_b 5.180
_cell_length_c 11.600
_cell_angle_alpha 90.00
_cell_angle_beta 116.59
_cell_angle_gamma 90.00
loop_
_symmetry_equiv_pos_as_xyz
'x,y,z'
'-x,-y,-z'
'-x,y,-z'
'x,-y,z'
'x+1/2,y+1/2,z'
'-x+1/2,-y+1/2,-z'
'-x+1/2,y+1/2,-z'
'x+1/2,-y+1/2,z'
loop_
_atom_site_label
_atom_site_fract_x
_atom_site_fract_y
_atom_site_fract_z
_atom_site_occupancy
Pr1 0.083 0.000 0.250 1
Nd1 0.000 0.000 0.500 1
Nd2 0.166 0.000 0.000 1
Nd3 0.249 0.000 0.749 1
Sm1 0.000 0.500 0.000 1
Sm2 0.083 0.500 0.750 1
Sm3 0.167 0.500 0.500 1
```

Calculated values
For the volume, the calculation gives 418.1 Å³/f.u. For the density of states at the Fermi level, the calculation gives 19.1 states/eV/f.u. The formation energy is 0.162 eV/f.u.



Entry 3:
ErBiCl | PBE-GGA | relaxed

The structure in CIF format:
```
data_ErBiCl
_symmetry_space_group_name_H-M 'P -6 m 2'
_symmetry_Int_Tables_number 187
_symmetry_space_group_name_Hall 'P -6 2'
_cell_length_a 4.9358
_cell_length_b 4.9358
_cell_length_c 3.6892
_cell_angle_alpha 90.00
_cell_angle_beta 90.00
_cell_angle_gamma 120.00
loop_
_atom_site_label
_atom_site_fract_x
_atom_site_fract_y
_atom_site_fract_z
_atom_site_occupancy
Er1 0.0000 0.0000 0.0000 1
Bi1 0.6667 0.3333 0.5000 1
Cl1 0.3333 0.6667 0.0000 1
```

Calculated values
For the volume, the calculation gives 77.8 Å³/f.u. For the density of states at the Fermi level, the calculation gives 4.4 states/eV/f.u. The formation energy from raw total energies comes out at -0.97 eV per atom.



Entry 4:
LaMoN3 | PBE-GGA | relaxed

The structure in CIF format:
```
data_LaMoN3
_symmetry_space_group_name_H-M 'P 1'
_symmetry_Int_Tables_number 1
_cell_length_a 3.613
_cell_length_b 6.040
_cell_length_c 6.708
_cell_angle_alpha 70.84
_cell_angle_beta 77.85
_cell_angle_gamma 87.69
loop_
_symmetry_equiv_pos_as_xyz
'x,y,z'
loop_
_atom_site_label
_atom_site_fract_x
_atom_site_fract_y
_atom_site_fract_z
_atom_site_occupancy
La1 0.000 0.000 0.000 1
La2 0.350 0.698 0.531 1
Mo1 0.426 0.480 0.147 1
Mo2 0.794 0.206 0.442 1
N1 0.234 0.273 0.560 1
N2 0.405 0.104 0.243 1
N3 0.546 0.728 0.878 1
N4 0.776 0.867 0.702 1
N5 0.884 0.575 0.259 1
N6 0.924 0.336 0.677 1
```

Calculated values
For the volume, the calculation gives 67.6 Å³/f.u. For the density of states at the Fermi level, the calculation gives 0.1 states/eV/f.u. The formation energy from raw total energies comes out at -0.54 eV per atom.



Entry 5:
IrNClF2 | PBE-GGA | relaxed

The structure in CIF format:
```
data_IrNClF2
_symmetry_space_group_name_H-M 'P 4/m m m'
_symmetry_Int_Tables_number 123
_symmetry_space_group_name_Hall '-P 4 2'
_cell_length_a 4.885
_cell_length_b 4.885
_cell_length_c 3.228
_cell_angle_alpha 90.00
_cell_angle_beta 90.00
_cell_angle_gamma 90.00
loop_
_atom_site_label
_atom_site_fract_x
_atom_site_fract_y
_atom_site_fract_z
_atom_site_occupancy
Ir1 0.000 0.000 0.000 1
N1 0.500 0.500 0.000 1
Cl1 0.500 0.500 0.500 1
F1 0.000 0.500 0.500 1
```

Calculated values
For the volume, the calculation gives 77.0 Å³/f.u. For the density of states at the Fermi level, the calculation gives 4.0 states/eV/f.u. The formation energy from raw total energies comes out at 1.41 eV per atom.



Entry 6:
LiMgInHg3 | PBE-GGA | relaxed

The structure in CIF format:
```
data_LiMgInHg3
_symmetry_space_group_name_H-M 'P 1 21/m 1'
_symmetry_Int_Tables_number 11
_cell_length_a 7.472
_cell_length_b 4.171
_cell_length_c 9.343
_cell_angle_alpha 90.00
_cell_angle_beta 112.40
_cell_angle_gamma 90.00
loop_
_symmetry_equiv_pos_as_xyz
'x,y,z'
'-x,-y,-z'
'-x,y+1/2,-z'
'x,-y+1/2,z'
loop_
_atom_site_label
_atom_site_fract_x
_atom_site_fract_y
_atom_site_fract_z
_atom_site_occupancy
Li1 0.001 0.250 0.127 1
Mg1 0.379 0.750 0.726 1
In1 0.002 0.250 0.627 1
Hg1 0.285 0.750 0.190 1
Hg2 0.314 0.250 0.947 1
Hg3 0.338 0.250 0.476 1
```

Calculated values
For the volume, the calculation gives 134.6 Å³/f.u. For the density of states at the Fermi level, the calculation gives 1.4 states/eV/f.u. The formation energy is -0.953 eV/f.u.



Entry 7:
Ac3AlGe3 | PBE-GGA | relaxed

The structure in CIF format:
```
data_Ac3AlGe3
_symmetry_space_group_name_H-M 'I m m 2'
_symmetry_Int_Tables_number 44
_cell_length_a 4.284
_cell_length_b 4.762
_cell_length_c 19.576
_cell_angle_alpha 90.00
_cell_angle_beta 90.00
_cell_angle_gamma 90.00
loop_
_symmetry_equiv_pos_as_xyz
'x,y,z'
'-x,-y,z'
'-x,y,z'
'x,-y,z'
'x+1/2,y+1/2,z+1/2'
'-x+1/2,-y+1/2,z+1/2'
'-x+1/2,y+1/2,z+1/2'
'x+1/2,-y+1/2,z+1/2'
loop_
_atom_site_label
_atom_site_fract_x
_atom_site_fract_y
_atom_site_fract_z
_atom_site_occupancy
Ac1 0.000 0.000 0.000 1
Ac2 0.000 0.000 0.366 1
Ac3 0.000 0.500 0.687 1
Al1 0.000 0.500 0.118 1
Ge1 0.000 0.000 0.543 1
Ge2 0.000 0.000 0.829 1
Ge3 0.000 0.500 0.248 1
```

Calculated values
For the volume, the calculation gives 199.7 Å³/f.u. For the density of states at the Fermi level, the calculation gives 4.2 states/eV/f.u. The formation energy is -4.553 eV/f.u.



Entry 8:
Pm3Pr3Er | PBE-GGA | relaxed

The structure in CIF format:
```
data_Pm3Pr3Er
_symmetry_space_group_name_H-M 'R -3'
_symmetry_Int_Tables_number 148
_symmetry_space_group_name_Hall '-R 3'
_cell_length_a 8.8007
_cell_length_b 8.8007
_cell_length_c 22.3450
_cell_angle_alpha 90.00
_cell_angle_beta 90.00
_cell_angle_gamma 120.00
loop_
_atom_site_label
_atom_site_fract_x
_atom_site_fract_y
_atom_site_fract_z
_atom_site_occupancy
Pm1 0.0498 0.4479 0.3807 1
Pr1 0.0041 0.2426 0.5584 1
Er1 0.0000 0.0000 0.1550 1
```

Calculated values
For the volume, the calculation gives 249.8 Å³/f.u. For the density of states at the Fermi level, the calculation gives 10.0 states/eV/f.u. The formation energy is 1.561 eV/f.u.



Entry 9:
TmThZr2 | PBE-GGA | relaxed

The structure in CIF format:
```
data_TmThZr2
_symmetry_space_group_name_H-M 'F m -3 m'
_symmetry_Int_Tables_number 225
_symmetry_space_group_name_Hall '-F 4 2 3'
_cell_length_a 7.516
_cell_length_b 7.516
_cell_length_c 7.516
_cell_angle_alpha 90.00
_cell_angle_beta 90.00
_cell_angle_gamma 90.00
loop_
_atom_site_label
_atom_site_fract_x
_atom_site_fract_y
_atom_site_fract_z
_atom_site_occupancy
Tm1 0.000 0.000 0.000 1
Th1 0.000 0.000 0.500 1
Zr1 0.250 0.250 0.250 1
```

Calculated values
For the volume, the calculation gives 106.2 Å³/f.u. For the density of states at the Fermi level, the calculation gives 7.5 states/eV/f.u. The formation energy is 0.658 eV/f.u.



It is found that the ρ values, taken in the order of the records, are 4.60; 6.97; 8.78; 6.80; 6.03; 9.23; 7.70; 6.81; 9.13 g cm⁻³.